No. 1
NaMnAlNi2 | PBE-GGA | relaxed

Calculated values
space group: P4/mmm
energy of formation from the pure elements: 0.857 eV per atom

Cell: 4.390 4.390 4.866 Å, 90.00 90.00 90.00°
Sites, in units of the cell vectors:
Na (0.000, 0.000, 0.000)
Mn (0.500, 0.500, 0.000)
Al (0.000, 0.000, 0.500)
Ni (0.000, 0.500, 0.500)
Ni (0.500, 0.000, 0.500)

No. 2
AlZnGa | PBE-GGA | relaxed

Calculated values
space group: Pnma
energy of formation from the pure elements: 0.060 eV per atom

Cell: 6.302 5.401 6.293 Å, 90.00 90.00 90.00°
Sites, in units of the cell vectors:
Al (0.000, 0.000, 0.000)
Al (0.000, 0.500, 0.000)
Al (0.500, 0.000, 0.500)
Al (0.500, 0.500, 0.500)
Zn (0.169, 0.250, 0.332)
Zn (0.331, 0.750, 0.832)
Zn (0.669, 0.250, 0.168)
Zn (0.831, 0.750, 0.668)
Ga (0.127, 0.750, 0.372)
Ga (0.373, 0.250, 0.872)
Ga (0.627, 0.750, 0.128)
Ga (0.873, 0.250, 0.628)

No. 3
AlCd2Ag2 | PBE-GGA | relaxed

Calculated values
space group: P4/mbm
energy of formation from the pure elements: 0.085 eV per atom
offset from the most stable computed form: 0 meV/atom

Cell: 7.046 7.046 4.069 Å, 90.00 90.00 90.00°
Sites, in units of the cell vectors:
Al (0.000, 0.000, 0.000)
Al (0.500, 0.500, 0.000)
Cd (0.156, 0.344, 0.500)
Cd (0.344, 0.844, 0.500)
Cd (0.656, 0.156, 0.500)
Cd (0.844, 0.656, 0.500)
Ag (0.147, 0.647, 0.000)
Ag (0.353, 0.147, 0.000)
Ag (0.647, 0.853, 0.000)
Ag (0.853, 0.353, 0.000)

No. 4
TcTe2As | PBE-GGA | relaxed

Calculated values
space group: P2/m
total energy: -4.843 eV per atom

Cell: 2.916 3.415 9.457 Å, 90.00 90.32 90.00°
Sites, in units of the cell vectors:
Tc (0.000, 0.000, 0.000)
Te (0.003, 0.500, 0.221)
Te (0.997, 0.500, 0.779)
As (0.000, 0.000, 0.500)